The following is a PBE with a Hubbard U calculation of crystalline CsCoSnO2 at its relaxed geometry, from Alexandria via LeMat-Bulk.

Structure (CIF):
```
data_CsCoSnO2
_cell_length_a 4.519
_cell_length_b 4.519
_cell_length_c 5.696
_cell_angle_alpha 90.00
_cell_angle_beta 90.00
_cell_angle_gamma 90.00
_symmetry_space_group_name_H-M 'P 4/m m m'
_symmetry_Int_Tables_number 123
_symmetry_space_group_name_Hall '-P 4 2'
loop_
_atom_site_label
_atom_site_type_symbol
_atom_site_fract_x
_atom_site_fract_y
_atom_site_fract_z
_atom_site_occupancy
Cs1 Cs 0.000 0.000 0.000 1
Co1 Co 0.000 0.000 0.500 1
Sn1 Sn 0.500 0.500 0.500 1
O1 O 0.000 0.500 0.000 1
```

Results
- theoretical density (g/cm³) = 4.89
- E (eV/atom) = -3.1055
- size of the total moment (μB per formula unit) = 2.044